Entry 1:
VASP calculation (PBE) on Er4AlTe2Se after structural relaxation.

POSCAR file:
```
Er4AlTe2Se
1.0
4.120 0.000 0.000
0.000 7.361 0.170
0.000 -2.533 7.050
Er Al Te Se
4 1 2 1
Cartesian
2.060 1.253 1.609
2.060 3.575 5.611
0.000 -0.043 5.478
0.000 4.871 1.743
2.060 3.680 0.085
2.060 -1.266 3.525
0.000 2.414 3.610
0.000 0.000 0.000
```

Output
As for the uncorrected formation energy: -1.1320 eV per atom. As for the space-group type: P2/m, No. 10. The calculation puts the density of states at the Fermi level at 2.97 states/eV per cell.

***

Entry 2:
VASP calculation (PBE) on Pr2Dy3Y7 after structural relaxation.

POSCAR file:
```
Pr2Dy3Y7
1.0
3.616 0.000 0.000
0.000 5.791 -0.958
0.000 0.200 19.186
Pr Dy Y
2 3 7
Cartesian
0.000 4.906 11.674
0.000 1.084 6.554
1.808 2.896 -0.479
1.808 3.815 5.076
1.808 2.176 13.152
0.000 2.651 16.023
0.000 4.308 8.058
0.000 0.000 0.000
0.000 3.340 2.205
1.808 0.545 3.294
1.808 5.446 14.934
0.000 1.683 10.169
```

Output
As for the space-group type: Cmmm, No. 65. The total energy is -5.562 eV/atom. The calculation puts the density of states at the Fermi level at 20.89 states/eV per cell.

***

Entry 3:
VASP calculation (PBE) on KCdTcSn2 after structural relaxation.

POSCAR file:
```
KCdTcSn2
1.0
5.170 0.000 0.000
0.000 5.170 0.000
0.000 0.000 5.468
Tc K Sn Cd
1 1 2 1
Cartesian
0.000 0.000 0.000
2.585 2.585 2.734
0.000 2.585 0.000
2.585 0.000 0.000
0.000 0.000 2.734
```

Output
As for the space-group type: P4/mmm, No. 123. The total energy is -4.091 eV/atom. The calculation puts the density of states at the Fermi level at 1.15 states/eV per cell.

***

Entry 4:
VASP calculation (PBE) on YSn2PdCl after structural relaxation.

POSCAR file:
```
YSn2PdCl
1.0
6.026 0.000 0.000
0.000 5.066 0.000
0.000 0.000 6.026
Y Sn Pd Cl
1 2 1 1
Cartesian
0.000 0.000 0.000
0.000 0.000 3.013
3.013 0.000 0.000
0.000 2.533 0.000
3.013 2.533 3.013
```

Output
As for the uncorrected formation energy: 0.4686 eV per atom. As for the space-group type: P4/mmm, No. 123. The calculation puts the density of states at the Fermi level at 4.81 states/eV per cell.

***

Entry 5:
VASP calculation (PBE) on LiTh3Sn5 after structural relaxation.

POSCAR file:
```
LiTh3Sn5
1.0
6.293 0.000 0.000
0.000 8.190 -4.729
0.000 0.000 9.457
Li Th Sn
2 6 10
Cartesian
0.000 0.000 0.000
3.146 0.000 0.000
4.720 3.147 -1.817
4.720 5.044 2.912
4.720 0.000 3.633
1.573 5.044 -2.912
1.573 3.147 1.817
1.573 0.000 5.824
0.000 2.730 4.729
3.146 5.460 0.000
0.000 5.460 0.000
3.146 2.730 4.729
4.720 6.007 -3.468
4.720 2.183 1.260
4.720 0.000 6.937
1.573 2.183 -1.260
1.573 6.007 3.468
1.573 0.000 2.521
```

Output
As for the space-group type: P6_3/mcm, No. 193. The total energy is -5.393 eV/atom. The calculation puts the density of states at the Fermi level at 12.50 states/eV per cell.

***

Entry 6:
VASP calculation (PBE) on LaCuSn after structural relaxation.

POSCAR file:
```
LaCuSn
1.0
-4.667 3.194 -3.455
2.506 -2.261 -2.743
-2.852 -4.186 4.287
Sn Cu La
2 2 2
Cartesian
-3.425 -0.893 -2.341
-3.704 -3.412 2.925
-1.418 -2.922 1.168
-5.709 -1.381 -0.584
-1.246 0.292 -4.774
-0.526 -2.673 -1.672
```

Output
As for the space-group type: P-1, No. 2. The total energy is -4.790 eV/atom. The calculation puts the density of states at the Fermi level at 3.91 states/eV per cell.

***

Entry 7:
VASP calculation (PBE) on SrGeTe4Pb2 after structural relaxation.

POSCAR file:
```
SrGeTe4Pb2
1.0
4.570 0.000 0.000
0.000 7.935 -0.161
0.000 2.790 7.469
Sr Ge Te Pb
1 1 4 2
Cartesian
0.000 5.362 3.654
2.285 6.758 7.389
0.000 7.971 5.634
4.570 2.754 1.675
2.285 6.561 1.655
2.285 4.164 5.654
0.000 2.790 7.469
2.285 1.395 3.735
```

Output
As for the uncorrected formation energy: -0.6090 eV per atom. As for the space-group type: P2/m, No. 10.

***

Entry 8:
VASP calculation (PBE) on AlTcNiW after structural relaxation.

POSCAR file:
```
AlTcNiW
1.0
-0.363 4.250 0.518
-3.606 2.009 -1.192
-2.663 1.581 2.978
Ni Tc W Al
1 1 1 1
Cartesian
-3.316 3.920 1.152
0.000 0.000 0.000
-1.658 1.960 0.576
-4.975 5.880 1.728
```

Output
As for the space-group type: F-43m, No. 216. The total energy is -8.390 eV/atom. The calculation puts the density of states at the Fermi level at 4.66 states/eV per cell.

***

Entry 9:
VASP calculation (PBE) on PuNp4S6 after structural relaxation.

POSCAR file:
```
PuNp4S6
1.0
-2.378 -3.227 6.703
3.617 -6.618 -2.028
6.534 2.350 3.574
Pu Np S
2 8 12
Cartesian
3.887 -3.748 4.125
0.000 0.000 0.000
1.236 -1.474 3.092
1.245 -3.591 6.626
2.554 -4.679 0.866
5.210 -0.699 3.849
2.563 -6.796 4.400
5.219 -2.816 7.383
6.529 -3.905 1.623
6.537 -6.022 5.157
-0.808 -2.397 4.719
1.376 -2.274 0.157
1.336 -4.371 3.684
2.511 -2.012 8.519
3.138 -1.606 5.518
3.925 -2.274 1.908
3.848 -5.222 6.341
4.635 -5.889 2.731
5.263 -5.484 -0.270
6.437 -3.125 4.565
6.398 -5.222 8.092
8.581 -5.098 3.530
```

Output
As for the uncorrected formation energy: -1.2129 eV per atom. As for the space-group type: R-3c, No. 167. The calculation puts the density of states at the Fermi level at 81.60 states/eV per cell.

***

Entry 10:
VASP calculation (PBE) on CaSiP2 after structural relaxation.

POSCAR file:
```
CaSiP2
1.0
5.056 0.243 0.237
3.753 3.396 0.237
2.471 1.021 4.920
Ca P Si
1 2 1
Cartesian
2.820 1.165 1.348
2.546 1.052 4.269
5.565 2.299 3.348
8.460 3.495 4.045
```

Output
As for the uncorrected formation energy: -0.2517 eV per atom. As for the space-group type: C2/m, No. 12. The calculation puts the density of states at the Fermi level at 2.14 states/eV per cell.

***

Entry 11:
VASP calculation (PBE) on RbPmGeS4 after structural relaxation.

POSCAR file:
```
RbPmGeS4
1.0
6.623 0.000 -0.060
0.000 6.758 0.000
-2.675 0.000 8.768
Rb Pm Ge S
2 2 2 8
Cartesian
2.347 5.068 8.163
1.600 1.689 0.544
3.914 5.068 3.895
0.033 1.689 4.812
0.595 5.068 2.873
3.352 1.689 5.834
-1.869 3.411 6.189
5.817 0.032 2.518
5.817 3.347 2.518
-1.869 6.726 6.189
2.326 5.068 1.511
1.621 1.689 7.196
1.280 5.068 4.986
2.667 1.689 3.721
```

Output
As for the uncorrected formation energy: -1.2620 eV per atom. As for the space-group type: P2_1/m, No. 11. The calculation puts the density of states at the Fermi level at 0.00 states/eV per cell.

***

Entry 12:
VASP calculation (PBE) on Pm4Sm2Sb3N2 after structural relaxation.

POSCAR file:
```
Pm4Sm2Sb3N2
1.0
4.775 0.000 0.000
0.000 4.775 0.000
-2.388 -2.388 12.915
Pm Sm Sb N
4 2 3 2
Cartesian
0.000 2.388 10.763
2.388 0.000 10.763
0.000 2.388 2.152
2.388 0.000 2.152
0.000 0.000 7.929
2.388 2.388 4.986
0.000 0.000 0.000
0.000 0.000 4.631
2.388 2.388 8.284
0.000 0.000 10.214
2.388 2.388 2.701
```

Output
As for the uncorrected formation energy: -1.1545 eV per atom. As for the space-group type: I4/mmm, No. 139. The calculation puts the density of states at the Fermi level at 4.57 states/eV per cell.